No. 1
## PRu2W (PBE)

Data for a relaxed PRu2W crystal.

a b c (Å): 2.823 2.823 24.493
angles (deg): 90.00 90.00 120.00
Positions (direct):
P  0.000  0.000  0.000
P  0.333  0.667  0.667
P  0.667  0.333  0.333
Ru  0.000  0.000  0.258
Ru  0.000  0.000  0.742
Ru  0.333  0.667  0.408
Ru  0.333  0.667  0.925
Ru  0.667  0.333  0.075
Ru  0.667  0.333  0.592
W  0.000  0.000  0.500
W  0.333  0.667  0.167
W  0.667  0.333  0.833

Results
**E_form**: -0.049 eV per atom
**Space-group type**: R-3m (166)



No. 2
## La4Pm7Er (PBE)

Data for a relaxed La4Pm7Er crystal.

a b c (Å): 6.404 7.362 9.202
angles (deg): 89.93 76.46 89.94
Positions (direct):
La  0.219  0.253  0.330
La  0.278  0.999  0.668
La  0.722  0.001  0.332
La  0.781  0.747  0.670
Pm  0.001  0.748  0.001
Pm  0.223  0.746  0.326
Pm  0.282  0.500  0.671
Pm  0.500  0.000  0.000
Pm  0.718  0.500  0.329
Pm  0.777  0.254  0.674
Pm  0.999  0.252  0.999
Er  0.500  0.500  0.000

Results
**E_form**: 0.022 eV per atom
**E above lowest polymorph**: 0 meV/atom
**Space-group type**: P-1 (2)



No. 3
## BeCdAs2 (PBE)

Data for a relaxed BeCdAs2 crystal.

a b c (Å): 6.274 3.594 6.780
angles (deg): 90.00 107.37 90.00
Positions (direct):
Be  0.000  0.000  0.000
Be  0.500  0.500  0.000
Cd  0.000  0.500  0.500
Cd  0.500  0.000  0.500
As  0.227  0.500  0.187
As  0.273  0.000  0.813
As  0.727  0.000  0.187
As  0.773  0.500  0.813

Results
**E_form**: 0.150 eV per atom
**E above lowest polymorph**: 86 meV/atom
**Space-group type**: C2/m (12)



No. 4
## Ba2Tl15Sn2 (PBE)

Data for a relaxed Ba2Tl15Sn2 crystal.

a b c (Å): 8.635 8.635 8.635
angles (deg): 82.63 82.63 82.63
Positions (direct):
Ba  0.176  0.176  0.176
Ba  0.824  0.824  0.824
Tl  0.000  0.500  0.500
Tl  0.144  0.144  0.658
Tl  0.144  0.658  0.144
Tl  0.204  0.500  0.796
Tl  0.204  0.796  0.500
Tl  0.342  0.856  0.856
Tl  0.500  0.000  0.500
Tl  0.500  0.204  0.796
Tl  0.500  0.500  0.000
Tl  0.500  0.796  0.204
Tl  0.658  0.144  0.144
Tl  0.796  0.204  0.500
Tl  0.796  0.500  0.204
Tl  0.856  0.342  0.856
Tl  0.856  0.856  0.342
Sn  0.409  0.409  0.409
Sn  0.591  0.591  0.591

Results
**E_form**: -0.088 eV per atom
**Space-group type**: R-3m (166)



No. 5
## MnMoI2N (PBE)

Data for a relaxed MnMoI2N crystal.

a b c (Å): 5.650 5.650 3.835
angles (deg): 90.00 90.00 90.00
Positions (direct):
Mn  0.000  0.000  0.000
Mo  0.500  0.500  0.500
I  0.000  0.500  0.500
I  0.500  0.000  0.500
N  0.500  0.500  0.000

Results
**Raw formation energy**: 261 kJ/mol of formula units
**E above lowest polymorph**: 0 meV/atom
**Space-group type**: P4/mmm (123)



No. 6
## RbRhSe2 (PBE)

Data for a relaxed RbRhSe2 crystal.

a b c (Å): 8.280 8.280 6.553
angles (deg): 90.00 90.00 90.00
Positions (direct):
Rb  0.000  0.000  0.250
Rb  0.000  0.000  0.750
Rb  0.500  0.500  0.250
Rb  0.500  0.500  0.750
Rh  0.000  0.500  0.250
Rh  0.000  0.500  0.750
Rh  0.500  0.000  0.250
Rh  0.500  0.000  0.750
Se  0.153  0.347  0.000
Se  0.153  0.653  0.500
Se  0.347  0.153  0.500
Se  0.347  0.847  0.000
Se  0.653  0.153  0.000
Se  0.653  0.847  0.500
Se  0.847  0.347  0.500
Se  0.847  0.653  0.000

Results
**Raw formation energy**: -179 kJ/mol of formula units
**Space-group type**: I4/mcm (140)



No. 7
## BaCu2Ru (PBE)

Data for a relaxed BaCu2Ru crystal.

a b c (Å): 3.283 4.056 6.212
angles (deg): 90.00 96.94 90.00
Positions (direct):
Ba  0.000  0.000  0.000
Cu  0.581  0.500  0.304
Cu  0.601  0.000  0.531
Ru  0.150  0.500  0.610

Results
**E_form**: 0.514 eV per atom
**E above lowest polymorph**: 314 meV/atom
**Space-group type**: Pm (6)



No. 8
## Sr2TmMg3Cd12 (PBE)

Data for a relaxed Sr2TmMg3Cd12 crystal.

a b c (Å): 7.854 7.854 7.854
angles (deg): 86.26 86.26 86.26
Positions (direct):
Sr  0.207  0.207  0.207
Sr  0.793  0.793  0.793
Tm  0.500  0.500  0.500
Mg  0.000  0.500  0.500
Mg  0.500  0.000  0.500
Mg  0.500  0.500  0.000
Cd  0.086  0.086  0.628
Cd  0.086  0.628  0.086
Cd  0.215  0.700  0.700
Cd  0.300  0.300  0.785
Cd  0.300  0.785  0.300
Cd  0.372  0.914  0.914
Cd  0.628  0.086  0.086
Cd  0.700  0.215  0.700
Cd  0.700  0.700  0.215
Cd  0.785  0.300  0.300
Cd  0.914  0.372  0.914
Cd  0.914  0.914  0.372

Results
**E_form**: -0.047 eV per atom
**Space-group type**: R-3m (166)



No. 9
## Zn4SnN4 (PBE)

Data for a relaxed Zn4SnN4 crystal.

a b c (Å): 5.846 5.846 6.803
angles (deg): 90.00 90.00 82.74
Positions (direct):
Zn  0.081  0.627  0.750
Zn  0.340  0.340  0.000
Zn  0.340  0.340  0.500
Zn  0.373  0.919  0.750
Zn  0.627  0.081  0.250
Zn  0.660  0.660  0.000
Zn  0.660  0.660  0.500
Zn  0.919  0.373  0.250
Sn  0.154  0.846  0.250
Sn  0.846  0.154  0.750
N  0.188  0.239  0.750
N  0.239  0.188  0.250
N  0.296  0.704  0.513
N  0.296  0.704  0.987
N  0.704  0.296  0.013
N  0.704  0.296  0.487
N  0.761  0.812  0.750
N  0.812  0.761  0.250

Results
**Raw formation energy**: 102 kJ/mol of formula units
**E above lowest polymorph**: 0 meV/atom
**Space-group type**: Cmcm (63)



No. 10
## SbIN2F (PBE)

Data for a relaxed SbIN2F crystal.

a b c (Å): 4.250 4.250 4.442
angles (deg): 90.00 90.00 90.00
Positions (direct):
Sb  0.000  0.000  0.000
I  0.500  0.500  0.500
N  0.000  0.500  0.500
N  0.500  0.000  0.500
F  0.500  0.500  0.000

Results
**Raw formation energy**: 608 kJ/mol of formula units
**E above lowest polymorph**: 537 meV/atom
**Space-group type**: P4/mmm (123)



No. 11
## SrCoBi3 (PBE)

Data for a relaxed SrCoBi3 crystal.

a b c (Å): 6.049 6.049 6.049
angles (deg): 90.00 90.00 90.00
Positions (direct):
Sr  0.000  0.000  0.000
Co  0.500  0.500  0.500
Bi  0.000  0.000  0.500
Bi  0.000  0.500  0.000
Bi  0.500  0.000  0.000

Results
**E_form**: 1.355 eV per atom
**E above lowest polymorph**: 1396 meV/atom
**Space-group type**: Pm-3m (221)



No. 12
## Pa2CrGa8 (PBE)

Data for a relaxed Pa2CrGa8 crystal.

a b c (Å): 4.329 4.329 11.229
angles (deg): 90.00 90.00 90.00
Positions (direct):
Pa  0.000  0.000  0.192
Pa  0.000  0.000  0.808
Cr  0.000  0.000  0.500
Ga  0.000  0.500  0.000
Ga  0.000  0.500  0.378
Ga  0.000  0.500  0.622
Ga  0.500  0.000  0.000
Ga  0.500  0.000  0.378
Ga  0.500  0.000  0.622
Ga  0.500  0.500  0.189
Ga  0.500  0.500  0.811

Results
**E_form**: -0.294 eV per atom
**Space-group type**: P4/mmm (123)



Calculated total energy values (in eV/atom) by entry order: -9.28; -4.77; -3.33; -2.58; -5.74; -4.29; -4.33; -1.36; -4.59; -3.58; -2.73; -5.10.